Record 1
A relaxed structure of NaNbTe3, computed with PBE-GGA.

a = 5.4947 Å, b = 5.4947 Å, c = 5.4947 Å
α = 90.00°, β = 90.00°, γ = 90.00°
Positions (direct):
Te (0.0000, 0.5000, 0.0000)
Te (0.0000, 0.0000, 0.5000)
Nb (0.0000, 0.0000, 0.0000)
Te (0.5000, 0.0000, 0.0000)
Na (0.5000, 0.5000, 0.5000)

Values from the calculation:
Density   5.0 Mg/m³
Space group   Pm-3m, No. 221
Formation energy without anion corrections   -0.22 eV/atom
N(E_F)   0.861 states/eV/atom
E above lowest polymorph   124 kJ/mol of formula units

---

Record 2
A relaxed structure of NaNbTe4, computed with PBE-GGA.

a = 6.9839 Å, b = 6.6366 Å, c = 7.3224 Å
α = 90.01°, β = 97.29°, γ = 89.99°
Positions (direct):
Te (0.5136, 0.6749, 0.1300)
Nb (0.7500, 0.9990, 0.0000)
Na (0.7504, 0.5292, 0.4995)
Na (0.2496, 0.4708, 0.5005)
Te (0.4594, 0.8850, 0.6972)
Te (0.9864, 0.6747, 0.8699)
Te (0.4864, 0.3251, 0.8700)
Te (0.5406, 0.1150, 0.3028)
Te (0.0407, 0.8850, 0.3029)
Te (0.0136, 0.3253, 0.1301)
Te (0.9593, 0.1150, 0.6971)
Nb (0.2500, 0.0010, 0.0000)

Values from the calculation:
Density   6.2 Mg/m³
Space group   P-1, No. 2
Formation energy without anion corrections   -0.44 eV/atom
N(E_F)   0.277 states/eV/atom

---

Record 3
A relaxed structure of NaTiNbTe2, computed with PBE-GGA.

a = 5.4966 Å, b = 4.7029 Å, c = 5.4966 Å
α = 90.00°, β = 90.00°, γ = 90.00°
Last column: magnetic moment on the atom in μB.
Positions (direct):
Na (0.5000, 0.5000, 0.5000)  0.01
Nb (0.0000, 0.5000, 0.0000)  1.13
Te (0.0000, 0.0000, 0.5000)  -0.02
Te (0.5000, 0.0000, 0.0000)  0.02
Ti (0.0000, 0.0000, 0.0000)  -0.07

Values from the calculation:
Density   4.9 Mg/m³
Space group   P4/mmm, No. 123
Formation energy without anion corrections   0.28 eV/atom
N(E_F)   0.960 states/eV/atom

---

Record 4
A relaxed structure of Na2NbTl3Te6, computed with PBE-GGA.

a = 7.8863 Å, b = 7.8863 Å, c = 7.7987 Å
α = 99.85°, β = 99.85°, γ = 120.60°
Positions (direct):
Na (0.6692, 0.3308, 0.0000)
Te (0.7695, 0.7695, 0.2132)
Te (0.0732, 0.3675, 0.2222)
Te (0.9268, 0.6325, 0.7778)
Te (0.3675, 0.0732, 0.2222)
Tl (0.1560, 0.8440, 0.5000)
Te (0.2305, 0.2305, 0.7868)
Te (0.6325, 0.9268, 0.7778)
Tl (0.5000, 0.5000, 0.5000)
Tl (0.8440, 0.1560, 0.5000)
Na (0.3308, 0.6692, 0.0000)
Nb (0.0000, 0.0000, 0.0000)

Values from the calculation:
Density   6.4 Mg/m³
Space group   C2/m, No. 12
Formation energy without anion corrections   -0.39 eV/atom
N(E_F)   0.413 states/eV/atom

---

Record 5
A relaxed structure of Na3NbV2Te6, computed with PBE-GGA.

a = 6.7575 Å, b = 6.7575 Å, c = 8.2570 Å
α = 97.63°, β = 97.63°, γ = 121.89°
Last column: magnetic moment on the atom in μB.
Positions (direct):
Te (0.0577, 0.4148, 0.1938)  -0.02
Te (0.4148, 0.0577, 0.1938)  -0.02
Nb (0.0000, 0.0000, 0.0000)  -0.70
Na (0.8227, 0.1773, 0.5000)  0.00
Na (0.1773, 0.8227, 0.5000)  0.00
V (0.3739, 0.6261, 0.0000)  0.53
Te (0.5852, 0.9423, 0.8062)  -0.02
V (0.6261, 0.3739, 0.0000)  0.53
Te (0.2497, 0.2497, 0.7658)  -0.02
Te (0.9423, 0.5852, 0.8062)  -0.02
Na (0.5000, 0.5000, 0.5000)  0.00
Te (0.7503, 0.7503, 0.2342)  -0.02

Values from the calculation:
Density   5.6 Mg/m³
Space group   C2/m, No. 12
Formation energy without anion corrections   -0.48 eV/atom
N(E_F)   0.437 states/eV/atom

---

Record 6
A relaxed structure of NaTiNb2, computed with PBE-GGA.

a = 4.7064 Å, b = 4.7064 Å, c = 4.7064 Å
α = 60.00°, β = 60.00°, γ = 60.00°
Positions (direct):
Na (0.0000, 0.0000, 0.0000)
Ti (0.5000, 0.5000, 0.5000)
Nb (0.2500, 0.2500, 0.2500)
Nb (0.7500, 0.7500, 0.7500)

Values from the calculation:
E_form   3.21 eV/f.u.
Density   5.8 Mg/m³
Space group   Fm-3m, No. 225
N(E_F)   1.022 states/eV/atom
E above lowest polymorph   0 kJ/mol of formula units

---

Record 7
A relaxed structure of NaTiNb2, computed with PBE-GGA.

a = 3.9671 Å, b = 3.9671 Å, c = 10.4258 Å
α = 79.03°, β = 79.03°, γ = 90.00°
Positions (direct):
Na (0.5000, 0.5000, 0.0000)
Nb (0.1071, 0.1250, 0.2500)
Ti (0.7500, 0.2500, 0.5000)
Nb (0.8750, 0.3571, 0.7500)
Nb (0.3750, 0.8929, 0.7500)
Na (0.2500, 0.7500, 0.5000)
Ti (0.0000, 0.0000, 0.0000)
Nb (0.6429, 0.6250, 0.2500)

Values from the calculation:
E_form   3.82 eV/f.u.
Density   5.4 Mg/m³
Space group   I-42d, No. 122
N(E_F)   1.293 states/eV/atom
E above lowest polymorph   59 kJ/mol of formula units

---

Record 8
A relaxed structure of Na2TiNb, computed with PBE-GGA.

a = 4.9142 Å, b = 4.9142 Å, c = 4.9142 Å
α = 60.00°, β = 60.00°, γ = 60.00°
Last column: magnetic moment on the atom in μB.
Positions (direct):
Na (0.2500, 0.2500, 0.2500)  0.00
Na (0.7500, 0.7500, 0.7500)  0.00
Ti (0.0000, 0.0000, 0.0000)  -0.41
Nb (0.5000, 0.5000, 0.5000)  0.30

Values from the calculation:
E_form   5.25 eV/f.u.
Density   3.7 Mg/m³
Space group   Fm-3m, No. 225
N(E_F)   0.729 states/eV/atom
E above lowest polymorph   53 kJ/mol of formula units